{
  "formula": "MgZnTe",
  "functional": "PBE-GGA",
  "state": "relaxed",
  "lattice_angstrom": [[-2.737, -3.973, 0.326], [2.084, -4.351, 0.330], [-0.197, -2.466, 4.155]],
  "species": ["Zn", "Mg", "Te"],
  "frac_coords": [[0.500, 0.500, 0.500], [0.750, 0.750, 0.750], [0.000, 0.000, 0.000]],
  "total_magnetization_mub_per_fu": 0.00,
  "e_form_raw_ev_per_atom": -0.2158,
  "crystal_system": "cubic"
}